Entry 1:
Li2GaAgH (PBE-GGA, relaxed); V = 65.7 Å³/cell; total magnetic moment = 0.00 μB/f.u.; offset from the most stable computed form = 12 meV/atom; VASP energy = -2.766 eV per atom
1.0
3.9727 0.0000 0.0000
0.0000 3.9727 0.0000
0.0000 0.0000 4.1618
Li Ga Ag H
2 1 1 1
direct
0.0000 0.5000 0.0000 Li
0.5000 0.0000 0.0000 Li
0.0000 0.0000 0.5000 Ga
0.5000 0.5000 0.5000 Ag
0.0000 0.0000 0.0000 H



Entry 2:
Pa2CuNi12H3 (PBE-GGA, relaxed); V = 205.4 Å³/cell; total magnetic moment = 0.00 μB/f.u.; VASP energy = -5.812 eV per atom
1.0
3.2788 1.8930 5.5142
-3.2788 1.8930 5.5142
0.0000 -3.7861 5.5142
Pa Cu Ni H
2 1 12 3
direct
0.0992 0.0992 0.0992 Pa
0.9008 0.9008 0.9008 Pa
0.5000 0.5000 0.5000 Cu
0.0421 0.6479 0.6479 Ni
0.2256 0.2256 0.6033 Ni
0.2256 0.6033 0.2256 Ni
0.3521 0.3521 0.9579 Ni
0.3521 0.9579 0.3521 Ni
0.3967 0.7744 0.7744 Ni
0.6033 0.2256 0.2256 Ni
0.6479 0.0421 0.6479 Ni
0.6479 0.6479 0.0421 Ni
0.7744 0.3967 0.7744 Ni
0.7744 0.7744 0.3967 Ni
0.9579 0.3521 0.3521 Ni
0.0000 0.5000 0.5000 H
0.5000 0.0000 0.5000 H
0.5000 0.5000 0.0000 H



Entry 3:
MnAs3Br (PBE-GGA, relaxed); V = 101.3 Å³/cell; total magnetic moment = 0.00 μB/f.u.; offset from the most stable computed form = 0 meV/atom; VASP energy = -4.633 eV per atom
1.0
4.6623 0.0000 0.0000
0.0000 4.6623 0.0000
0.0000 0.0000 4.6623
Mn As Br
1 3 1
direct
0.0000 0.0000 0.0000 Mn
0.0000 0.0000 0.5000 As
0.0000 0.5000 0.0000 As
0.5000 0.0000 0.0000 As
0.5000 0.5000 0.5000 Br



Entry 4:
ZrMo2IrRu (PBE-GGA, relaxed); V = 108.9 Å³/cell; total magnetic moment = 1.11 μB/f.u.; VASP energy = -8.276 eV per atom
1.0
4.6831 0.0000 0.0000
0.0000 4.6831 0.0000
0.0000 0.0000 4.9665
Zr Mo Ir Ru
1 2 1 1
direct
0.0000 0.0000 0.0000 Zr
0.0000 0.5000 0.5000 Mo
0.5000 0.0000 0.5000 Mo
0.0000 0.0000 0.5000 Ir
0.5000 0.5000 0.0000 Ru